Entry 1:
LaReRu (PBE, relaxed); energy relative to the lowest polymorph listed for this composition = 0.609 eV per atom; energy of formation = 0.71 eV per atom; D(E_F) = 4.303 states/eV/cell; space group = F-43m (216); E_tot = -8.177 eV/atom; total magnetization = 0.000 μB per atom
1.0
4.5310 0.0000 0.0000
2.2655 3.9240 0.0000
2.2655 1.3080 3.6996
Re Ru La
1 1 1
Cartesian
6.7965 3.9240 2.7747
0.0000 0.0000 0.0000
4.5310 2.6160 1.8498


Entry 2:
LaRe2Ru (PBE, relaxed); energy relative to the lowest polymorph listed for this composition = 0.633 eV per atom; energy of formation = 0.89 eV per atom; D(E_F) = 7.928 states/eV/cell; space group = P4/mmm (123); E_tot = -8.881 eV/atom; total magnetization = 0.003 μB per atom
1.0
4.8157 0.0000 0.0000
0.0000 4.8157 0.0000
0.0000 0.0000 3.0853
Re La Ru
2 1 1
Cartesian
0.0000 0.0000 0.0000
2.4079 2.4079 0.0000
0.0000 2.4079 1.5427
2.4079 0.0000 1.5427


Entry 3:
LaReRu (PBE, relaxed); energy relative to the lowest polymorph listed for this composition = 0.449 eV per atom; energy of formation = 0.55 eV per atom; D(E_F) = 2.057 states/eV/cell; space group = P3m1 (156); E_tot = -8.336 eV/atom; total magnetization = 0.000 μB per atom
1.0
2.8949 0.0000 0.0000
-1.4474 2.5070 0.0000
0.0000 0.0000 7.7382
Re La Ru
1 1 1
Cartesian
0.0000 1.6714 2.8839
0.0000 0.0000 7.7166
1.4474 0.8357 4.8759


Entry 4:
LaRe2Ru (PBE, relaxed); energy relative to the lowest polymorph listed for this composition = 0.494 eV per atom; energy of formation = 0.76 eV per atom; D(E_F) = 5.251 states/eV/cell; space group = Cmmm (65); E_tot = -9.020 eV/atom; total magnetization = 0.000 μB per atom
1.0
-4.3982 -0.8093 -3.0531
2.1077 -3.9552 3.0388
-1.6814 0.8017 2.2097
Re La Ru
2 1 1
Cartesian
-1.1453 -2.3822 -0.0071
0.0000 0.0000 0.0000
0.2131 -1.5767 2.6243
-3.0398 -0.0038 -0.4217


Question: Which value of total magnetization does entry 2 give?
Answer: 0.003 μB per atom


Question: Which of these has the highest D(E_F)?
Answer: number 2


Question: Among the records above, which one has the highest D(E_F)?
Answer: number 2


Question: Which of these has the lowest energy of formation?
Answer: number 3